[1]
Li2RhBr: PBEsol geometry, SCAN.

Lattice parameters (Å, degrees): 4.337 4.337 4.337 60.00 60.00 60.00
Atoms (fractional coordinates):
Br  0.500  0.500  0.500
Li  0.000  0.000  0.000
Li  0.750  0.750  0.750
Rh  0.250  0.250  0.250

## Properties
Size of the total moment in μB per formula unit: 0.000
Formation energy from raw total energies in eV per atom: -0.1025
Density of states at the Fermi level in states/eV/f.u.: 1.427

[2]
Ba2CaTaPt: PBEsol geometry, SCAN.

Lattice parameters (Å, degrees): 4.973 6.185 6.185 90.00 90.00 90.00
Atoms (fractional coordinates):
Ca  0.500  0.500  0.500
Ba  0.000  0.000  0.500
Ba  0.000  0.500  0.000
Pt  0.000  0.000  0.000
Ta  0.500  0.000  0.000

## Properties
Energy of formation from the pure elements in meV/atom: 244
Size of the total moment in μB per formula unit: 2.476
Density of states at the Fermi level in states/eV/f.u.: 5.802

[3]
YB2C: PBEsol geometry, SCAN.

Lattice parameters (Å, degrees): 6.766 6.766 7.358 90.00 90.00 90.00
Atoms (fractional coordinates):
Y  0.310  0.810  0.750
Y  0.190  0.310  0.250
Y  0.810  0.690  0.250
Y  0.690  0.190  0.750
Y  0.690  0.190  0.250
Y  0.810  0.690  0.750
Y  0.190  0.310  0.750
Y  0.310  0.810  0.250
B  0.151  0.034  0.000
B  0.534  0.651  0.500
B  0.849  0.966  0.000
B  0.349  0.534  0.000
B  0.651  0.466  0.000
B  0.034  0.849  0.500
B  0.966  0.151  0.500
B  0.466  0.349  0.500
B  0.097  0.594  0.000
B  0.406  0.097  0.500
B  0.594  0.903  0.500
B  0.597  0.906  0.000
B  0.403  0.094  0.000
B  0.903  0.406  0.000
B  0.094  0.597  0.500
B  0.906  0.403  0.500
C  0.178  0.041  0.500
C  0.678  0.459  0.500
C  0.322  0.541  0.500
C  0.959  0.178  0.000
C  0.041  0.822  0.000
C  0.541  0.678  0.000
C  0.822  0.959  0.500
C  0.459  0.322  0.000

## Properties
Energy of formation from the pure elements in meV/atom: -634
Size of the total moment in μB per formula unit: 0.000
Density of states at the Fermi level in states/eV/f.u.: 0.550

[4]
KMoIO2: PBEsol geometry, SCAN.

Lattice parameters (Å, degrees): 4.048 4.048 5.682 90.00 90.00 90.00
Atoms (fractional coordinates):
I  0.000  0.000  0.500
Mo  0.000  0.000  0.000
K  0.500  0.500  0.500
O  0.000  0.500  0.000
O  0.500  0.000  0.000

## Properties
Size of the total moment in μB per formula unit: 1.218
Formation energy from raw total energies in eV per atom: -1.1133
Density of states at the Fermi level in states/eV/f.u.: 1.661

[5]
CaIr2: PBEsol geometry, SCAN.

Lattice parameters (Å, degrees): 5.294 5.294 5.294 60.00 60.00 60.00
Atoms (fractional coordinates):
Ca  0.000  0.000  0.000
Ca  0.250  0.250  0.250
Ir  0.625  0.625  0.125
Ir  0.625  0.625  0.625
Ir  0.125  0.625  0.625
Ir  0.625  0.125  0.625

## Properties
Energy of formation from the pure elements in meV/atom: -585
Size of the total moment in μB per formula unit: 0.386
Density of states at the Fermi level in states/eV/f.u.: 2.292

[6]
LaRhBr2: PBEsol geometry, SCAN.

Lattice parameters (Å, degrees): 3.673 3.673 6.514 90.00 90.00 89.97
Atoms (fractional coordinates):
Rh  0.500  0.500  0.000
Br  0.000  0.000  0.248
Br  0.000  0.000  0.752
La  0.500  0.500  0.500

## Properties
Size of the total moment in μB per formula unit: 0.410
Formation energy from raw total energies in eV per atom: -0.5394
Energy above the most stable polymorph in this dataset in meV/atom: 662.0
Density of states at the Fermi level in states/eV/f.u.: 3.663

[7]
LiAsSe: PBEsol geometry, SCAN.

Lattice parameters (Å, degrees): 2.865 3.934 5.621 110.49 104.76 90.00
Atoms (fractional coordinates):
As  0.958  0.958  0.915
Se  0.714  0.714  0.428
Li  0.329  0.329  0.657

## Properties
Size of the total moment in μB per formula unit: 0.000
Formation energy from raw total energies in eV per atom: -0.3689
Density of states at the Fermi level in states/eV/f.u.: 0.827

[8]
BaHgSbI2: PBEsol geometry, SCAN.

Lattice parameters (Å, degrees): 5.550 5.896 5.896 90.00 90.00 90.00
Atoms (fractional coordinates):
I  0.000  0.000  0.500
I  0.000  0.500  0.000
Sb  0.500  0.000  0.000
Hg  0.000  0.000  0.000
Ba  0.500  0.500  0.500

## Properties
Size of the total moment in μB per formula unit: 1.097
Formation energy from raw total energies in eV per atom: -0.5157
Density of states at the Fermi level in states/eV/f.u.: 3.654

[9]
Nd3Hg: PBEsol geometry, SCAN.

Lattice parameters (Å, degrees): 4.755 4.755 6.007 113.31 113.31 90.00
Atoms (fractional coordinates):
Nd  0.250  0.750  0.500
Nd  0.750  0.250  0.500
Nd  0.500  0.500  0.000
Hg  0.000  0.000  0.000

## Properties
Energy of formation from the pure elements in meV/atom: -290
Size of the total moment in μB per formula unit: 0.351
Density of states at the Fermi level in states/eV/f.u.: 3.878

[10]
Ta2PtAu: PBEsol geometry, SCAN.

Lattice parameters (Å, degrees): 2.811 4.619 5.028 90.00 90.00 90.00
Atoms (fractional coordinates):
Au  0.500  0.000  0.544
Pt  0.500  0.500  0.205
Ta  0.000  0.000  0.049
Ta  0.000  0.500  0.702

## Properties
Energy of formation from the pure elements in meV/atom: -446
Size of the total moment in μB per formula unit: 0.000
Density of states at the Fermi level in states/eV/f.u.: 2.565

[11]
Cr2CdCu: PBEsol geometry, SCAN.

Lattice parameters (Å, degrees): 3.868 3.868 4.697 114.32 114.32 90.00
Atoms (fractional coordinates):
Cd  0.250  0.750  0.500
Cr  0.000  0.000  0.000
Cr  0.750  0.250  0.500
Cu  0.500  0.500  0.000

## Properties
Energy of formation from the pure elements in meV/atom: 132
Size of the total moment in μB per formula unit: 0.077
Density of states at the Fermi level in states/eV/f.u.: 1.581

[12]
AsOs2Se: PBEsol geometry, SCAN.

Lattice parameters (Å, degrees): 2.864 4.952 5.183 118.41 105.84 90.39
Atoms (fractional coordinates):
As  0.000  0.000  0.000
Os  0.000  0.500  0.500
Os  0.500  0.000  0.500
Se  0.500  0.500  0.000

## Properties
Size of the total moment in μB per formula unit: 0.000
Formation energy from raw total energies in eV per atom: 1.0236
Density of states at the Fermi level in states/eV/f.u.: 3.902